Record 1
# Ho5Tm4Th2 (GGA-PBE, optimized geometry)
# - formation energy from the elements (meV/atom) = 54
data_Ho5Tm4Th2
_cell_length_a 3.5068
_cell_length_b 8.7553
_cell_length_c 11.1376
_cell_angle_alpha 88.85
_cell_angle_beta 89.29
_cell_angle_gamma 89.60
_symmetry_space_group_name_H-M 'P -1'
_symmetry_Int_Tables_number 2
loop_
_symmetry_equiv_pos_as_xyz
'x,y,z'
'-x,-y,-z'
loop_
_atom_site_label
_atom_site_type_symbol
_atom_site_fract_x
_atom_site_fract_y
_atom_site_fract_z
Ho1 Ho 0.0000 0.0000 0.0000
Ho2 Ho 0.2440 0.1811 0.4788
Ho3 Ho 0.2692 0.3576 0.9137
Tm1 Tm 0.2459 0.7320 0.7958
Tm2 Tm 0.2919 0.9177 0.2619
Th1 Th 0.2520 0.5446 0.3614


Record 2
# LaNbSe3 (GGA-PBE, optimized geometry)
# - formation energy from raw total energies (eV per atom) = -1.33
data_LaNbSe3
_cell_length_a 14.8539
_cell_length_b 4.3006
_cell_length_c 7.7208
_cell_angle_alpha 90.00
_cell_angle_beta 93.94
_cell_angle_gamma 90.00
_symmetry_space_group_name_H-M 'C 1 2/m 1'
_symmetry_Int_Tables_number 12
loop_
_symmetry_equiv_pos_as_xyz
'x,y,z'
'-x,-y,-z'
'-x,y,-z'
'x,-y,z'
'x+1/2,y+1/2,z'
'-x+1/2,-y+1/2,-z'
'-x+1/2,y+1/2,-z'
'x+1/2,-y+1/2,z'
loop_
_atom_site_label
_atom_site_type_symbol
_atom_site_fract_x
_atom_site_fract_y
_atom_site_fract_z
La1 La 0.1103 0.0000 0.4097
Nb1 Nb 0.2027 0.5000 0.9139
Se1 Se 0.0576 0.5000 0.6758
Se2 Se 0.1169 0.0000 0.0305
Se3 Se 0.2394 0.5000 0.2765


Record 3
# Cr3TcNi (GGA-PBE, optimized geometry)
# - formation energy from the elements (meV/atom) = 1455
data_Cr3TcNi
_cell_length_a 4.1696
_cell_length_b 4.1696
_cell_length_c 4.1696
_cell_angle_alpha 90.00
_cell_angle_beta 90.00
_cell_angle_gamma 90.00
_symmetry_space_group_name_H-M 'P m -3 m'
_symmetry_Int_Tables_number 221
_symmetry_space_group_name_Hall '-P 4 2 3'
loop_
_atom_site_label
_atom_site_type_symbol
_atom_site_fract_x
_atom_site_fract_y
_atom_site_fract_z
Cr1 Cr 0.0000 0.0000 0.5000
Tc1 Tc 0.5000 0.5000 0.5000
Ni1 Ni 0.0000 0.0000 0.0000


Record 4
# LiAgBi (GGA-PBE, optimized geometry)
# - formation energy from the elements (meV/atom) = -72
data_LiAgBi
_cell_length_a 3.6175
_cell_length_b 4.5560
_cell_length_c 4.1859
_cell_angle_alpha 90.00
_cell_angle_beta 90.34
_cell_angle_gamma 90.00
_symmetry_space_group_name_H-M 'P 1 2/m 1'
_symmetry_Int_Tables_number 10
loop_
_symmetry_equiv_pos_as_xyz
'x,y,z'
'-x,-y,-z'
'-x,y,-z'
'x,-y,z'
loop_
_atom_site_label
_atom_site_type_symbol
_atom_site_fract_x
_atom_site_fract_y
_atom_site_fract_z
Li1 Li 0.0000 0.0000 0.0000
Ag1 Ag 0.5000 0.0000 0.5000
Bi1 Bi 0.5000 0.5000 0.0000


Record 5
# GaPt3O (GGA-PBE, optimized geometry)
# - formation energy from raw total energies (eV per atom) = 0.43
data_GaPt3O
_cell_length_a 4.2846
_cell_length_b 4.2846
_cell_length_c 4.2846
_cell_angle_alpha 90.00
_cell_angle_beta 90.00
_cell_angle_gamma 90.00
_symmetry_space_group_name_H-M 'P m -3 m'
_symmetry_Int_Tables_number 221
_symmetry_space_group_name_Hall '-P 4 2 3'
loop_
_atom_site_label
_atom_site_type_symbol
_atom_site_fract_x
_atom_site_fract_y
_atom_site_fract_z
Ga1 Ga 0.0000 0.0000 0.0000
Pt1 Pt 0.0000 0.5000 0.5000
O1 O 0.5000 0.5000 0.5000


Record 6
# In2HgI4 (GGA-PBE, optimized geometry)
# - formation energy from raw total energies (eV per atom) = -0.36
data_In2HgI4
_cell_length_a 15.8336
_cell_length_b 10.4895
_cell_length_c 8.2921
_cell_angle_alpha 90.00
_cell_angle_beta 90.00
_cell_angle_gamma 90.00
_symmetry_space_group_name_H-M 'P n m a'
_symmetry_Int_Tables_number 62
loop_
_symmetry_equiv_pos_as_xyz
'x,y,z'
'-x,-y,-z'
'-x+1/2,-y,z+1/2'
'x+1/2,y,-z+1/2'
'x+1/2,-y+1/2,-z+1/2'
'-x+1/2,y+1/2,z+1/2'
'-x,y+1/2,-z'
'x,-y+1/2,z'
loop_
_atom_site_label
_atom_site_type_symbol
_atom_site_fract_x
_atom_site_fract_y
_atom_site_fract_z
In1 In 0.0000 0.0000 0.0000
In2 In 0.0382 0.2500 0.4923
Hg1 Hg 0.1969 0.7500 0.5016
I1 I 0.1154 0.5337 0.6592
I2 I 0.1186 0.7500 0.1925
I3 I 0.1325 0.2500 0.0958


Record 7
# NaMg2Tl (GGA-PBE, optimized geometry)
# - formation energy from the elements (meV/atom) = 0
data_NaMg2Tl
_cell_length_a 7.3523
_cell_length_b 7.3523
_cell_length_c 7.3523
_cell_angle_alpha 90.00
_cell_angle_beta 90.00
_cell_angle_gamma 90.00
_symmetry_space_group_name_H-M 'F -4 3 m'
_symmetry_Int_Tables_number 216
_symmetry_space_group_name_Hall 'F -4 2 3'
loop_
_atom_site_label
_atom_site_type_symbol
_atom_site_fract_x
_atom_site_fract_y
_atom_site_fract_z
Na1 Na 0.0000 0.0000 0.0000
Mg1 Mg 0.0000 0.0000 0.5000
Mg2 Mg 0.2500 0.2500 0.2500
Tl1 Tl 0.2500 0.2500 0.7500


Record 8
# CaVSbTe2 (GGA-PBE, optimized geometry)
# - formation energy from raw total energies (eV per atom) = -0.21
data_CaVSbTe2
_cell_length_a 5.3796
_cell_length_b 5.3796
_cell_length_c 5.0941
_cell_angle_alpha 90.00
_cell_angle_beta 90.00
_cell_angle_gamma 90.00
_symmetry_space_group_name_H-M 'P 4/m m m'
_symmetry_Int_Tables_number 123
_symmetry_space_group_name_Hall '-P 4 2'
loop_
_atom_site_label
_atom_site_type_symbol
_atom_site_fract_x
_atom_site_fract_y
_atom_site_fract_z
Ca1 Ca 0.0000 0.0000 0.0000
V1 V 0.5000 0.5000 0.5000
Sb1 Sb 0.5000 0.5000 0.0000
Te1 Te 0.0000 0.5000 0.5000


Record 9
# Al2CuPbAu4 (GGA-PBE, optimized geometry)
# - formation energy from the elements (meV/atom) = -195
data_Al2CuPbAu4
_cell_length_a 4.3694
_cell_length_b 4.3694
_cell_length_c 27.9321
_cell_angle_alpha 90.00
_cell_angle_beta 90.00
_cell_angle_gamma 120.00
_symmetry_space_group_name_H-M 'R -3 m'
_symmetry_Int_Tables_number 166
_symmetry_space_group_name_Hall '-R 3 2"'
loop_
_atom_site_label
_atom_site_type_symbol
_atom_site_fract_x
_atom_site_fract_y
_atom_site_fract_z
Al1 Al 0.0000 0.0000 0.2330
Cu1 Cu 0.0000 0.0000 0.5000
Pb1 Pb 0.0000 0.0000 0.0000
Au1 Au 0.0000 0.0000 0.1322
Au2 Au 0.0000 0.0000 0.4013


Record 10
# AcCe2NdS4 (GGA-PBE, optimized geometry)
# - formation energy from raw total energies (eV per atom) = -2.01
data_AcCe2NdS4
_cell_length_a 7.1268
_cell_length_b 4.1017
_cell_length_c 7.1400
_cell_angle_alpha 90.00
_cell_angle_beta 109.30
_cell_angle_gamma 90.00
_symmetry_space_group_name_H-M 'P 1 2/m 1'
_symmetry_Int_Tables_number 10
loop_
_symmetry_equiv_pos_as_xyz
'x,y,z'
'-x,-y,-z'
'-x,y,-z'
'x,-y,z'
loop_
_atom_site_label
_atom_site_type_symbol
_atom_site_fract_x
_atom_site_fract_y
_atom_site_fract_z
Ac1 Ac 0.0000 0.0000 0.0000
Ce1 Ce 0.0000 0.5000 0.5000
Ce2 Ce 0.5000 0.0000 0.5000
Nd1 Nd 0.5000 0.5000 0.0000
S1 S 0.2546 0.0000 0.7424
S2 S 0.2617 0.5000 0.2628


Record 11
# Ba3GeW (GGA-PBE, optimized geometry)
# - formation energy from the elements (meV/atom) = 944
data_Ba3GeW
_cell_length_a 5.8902
_cell_length_b 5.8902
_cell_length_c 5.8902
_cell_angle_alpha 90.00
_cell_angle_beta 90.00
_cell_angle_gamma 90.00
_symmetry_space_group_name_H-M 'P m -3 m'
_symmetry_Int_Tables_number 221
_symmetry_space_group_name_Hall '-P 4 2 3'
loop_
_atom_site_label
_atom_site_type_symbol
_atom_site_fract_x
_atom_site_fract_y
_atom_site_fract_z
Ba1 Ba 0.0000 0.0000 0.5000
Ge1 Ge 0.5000 0.5000 0.5000
W1 W 0.0000 0.0000 0.0000


Record 12
# NaEuHg4 (GGA-PBE, optimized geometry)
# - formation energy from the elements (meV/atom) = -253
data_NaEuHg4
_cell_length_a 8.6313
_cell_length_b 8.6313
_cell_length_c 8.6313
_cell_angle_alpha 90.00
_cell_angle_beta 90.00
_cell_angle_gamma 90.00
_symmetry_space_group_name_H-M 'F -4 3 m'
_symmetry_Int_Tables_number 216
_symmetry_space_group_name_Hall 'F -4 2 3'
loop_
_atom_site_label
_atom_site_type_symbol
_atom_site_fract_x
_atom_site_fract_y
_atom_site_fract_z
Na1 Na 0.0000 0.0000 0.0000
Eu1 Eu 0.2500 0.2500 0.7500
Hg1 Hg 0.1252 0.1252 0.3748


no.,mass density (g/cm³),size of the total moment (μB per formula unit),raw total energy (eV per atom)
1,9.54,0.000,-5.002
2,6.33,0.000,-6.423
3,7.16,0.000,-7.548
4,7.79,0.000,-2.954
5,14.17,0.000,-4.788
6,4.52,0.000,-2.070
7,4.61,0.000,-1.719
8,5.27,0.000,-4.513
9,12.00,0.000,-3.745
10,6.57,1.713,-6.669
11,5.43,0.848,-3.724
12,10.10,7.306,-2.387